Computed, not measured: a relaxed SrGaSbTe2 crystal at the GGA-PBEsol level of DFT.

Lattice parameters (Å, degrees): 5.9031 6.0056 6.0056 90.00 90.00 90.00
Closest atoms and distances in Å follow each position.
Element x y z (fractional)
Sr 0.0000 0.0000 0.0000  2 Sb 2.95, 4 Te 3.00
Sb 0.5000 0.0000 0.0000  2 Sr 2.95
Te 0.0000 0.0000 0.5000  2 Sr 3.00
Ga 0.5000 0.5000 0.5000  8 Te 4.21, 4 Sb 4.25
Te 0.0000 0.5000 0.0000  2 Sr 3.00

Results
V: 212.9 Å³ per cell
D(E_F): 5.953 states/eV per cell
E_form (uncorrected): 2.2 eV per formula unit

=====

Computed, not measured: a relaxed FeBr3 crystal at the GGA-PBEsol level of DFT.

Lattice parameters (Å, degrees): 6.9553 6.9553 6.9553 52.02 52.02 52.02
Closest atoms and distances in Å follow each position.
Element x y z (fractional)
Br 0.7149 0.0745 0.4358  2 Fe 2.38
Fe 0.3334 0.3334 0.3334  6 Br 2.38
Br 0.0745 0.4358 0.7149  2 Fe 2.38
Br 0.2851 0.9255 0.5642  2 Fe 2.38
Br 0.9255 0.5642 0.2851  2 Fe 2.38
Br 0.4358 0.7149 0.0745  2 Fe 2.38
Fe 0.6666 0.6666 0.6666  6 Br 2.38
Br 0.5642 0.2851 0.9255  2 Fe 2.38

Results
V: 193.3 Å³ per cell
D(E_F): 8.711 states/eV per cell
E_form (uncorrected): -1.4 eV per formula unit

=====

Computed, not measured: a relaxed Ba3Rh crystal at the GGA-PBEsol level of DFT.

Lattice parameters (Å, degrees): 4.3786 6.2342 7.5881 114.28 90.00 90.00
Closest atoms and distances in Å follow each position.
Element x y z (fractional)
Ba 0.0000 0.8521 0.2043  2 Rh 3.00
Ba 0.0000 0.1479 0.7957  2 Rh 3.00
Ba 0.5000 0.5000 0.5000  2 Rh 3.12
Rh 0.5000 0.0000 0.5000  6 Ba 3.00-3.12

Results
V: 188.8 Å³ per cell
uncorrected energy: -3.711 eV per atom
D(E_F): 2.912 states/eV per cell

=====

Computed, not measured: a relaxed Y2Fe17 crystal at the GGA-PBEsol level of DFT.

Lattice parameters (Å, degrees): 6.2146 6.2146 6.2146 82.55 82.55 82.55
Closest atoms and distances in Å follow each position.
Element x y z (fractional)
Fe 0.0000 0.2956 0.7044  8 Fe 2.37-2.56
Fe 0.2956 0.0000 0.7044  8 Fe 2.37-2.56
Fe 0.6598 0.1593 0.6598  9 Fe 2.37-2.56
Fe 0.3402 0.8407 0.3402  9 Fe 2.37-2.56
Fe 0.5000 0.0000 0.0000  10 Fe 2.37-2.52
Fe 0.9051 0.9051 0.9051  7 Fe 2.29-2.55
Fe 0.8407 0.3402 0.3402  9 Fe 2.37-2.56
Fe 0.0000 0.5000 0.0000  10 Fe 2.37-2.52
Fe 0.6598 0.6598 0.1593  9 Fe 2.37-2.56
Fe 0.2956 0.7044 0.0000  8 Fe 2.37-2.56
Fe 0.0000 0.0000 0.5000  10 Fe 2.37-2.52
Fe 0.7044 0.0000 0.2956  8 Fe 2.37-2.56
Fe 0.1593 0.6598 0.6598  9 Fe 2.37-2.56
Fe 0.7044 0.2956 0.0000  8 Fe 2.37-2.56
Fe 0.3402 0.3402 0.8407  9 Fe 2.37-2.56
Fe 0.0000 0.7044 0.2956  8 Fe 2.37-2.56
Fe 0.0949 0.0949 0.0949  7 Fe 2.29-2.55
Y 0.6586 0.6586 0.6586  19 Fe 2.90-3.17
Y 0.3414 0.3414 0.3414  19 Fe 2.90-3.17

Results
V: 234.4 Å³ per cell
uncorrected energy: -8.720 eV per atom
D(E_F): 25.966 states/eV per cell

=====

Computed, not measured: a relaxed LaIrPt crystal at the GGA-PBEsol level of DFT.

Lattice parameters (Å, degrees): 4.0128 4.3394 4.3394 120.00 90.00 90.00
Closest atoms and distances in Å follow each position.
Element x y z (fractional)
Ir 0.5000 0.0000 0.0000  3 Pt 2.51
Pt 0.5000 0.3333 0.6667  3 Ir 2.51
La 0.0000 0.6667 0.3333  6 Pt 3.21, 6 Ir 3.21

Results
V: 65.4 Å³ per cell
uncorrected energy: -8.096 eV per atom
D(E_F): 1.106 states/eV per cell

=====

Computed, not measured: a relaxed Cr3Rh crystal at the GGA-PBEsol level of DFT.

Lattice parameters (Å, degrees): 2.5238 2.5238 8.0102 90.00 90.00 111.34
Closest atoms and distances in Å follow each position.
Element x y z (fractional)
Cr 0.0000 0.0000 0.2370  6 Cr 2.37-2.52, 2 Rh 2.54
Rh 0.5000 0.5000 0.5000  4 Rh 2.52, 4 Cr 2.54
Cr 0.0000 0.0000 0.7630  6 Cr 2.37-2.52, 2 Rh 2.54
Cr 0.5000 0.5000 0.0000  8 Cr 2.37-2.52

Results
V: 47.5 Å³ per cell
uncorrected energy: -9.583 eV per atom
D(E_F): 4.173 states/eV per cell

=====

Computed, not measured: a relaxed Fe3ReAg crystal at the GGA-PBEsol level of DFT.

Lattice parameters (Å, degrees): 4.4352 4.4352 4.4352 90.00 90.00 90.00
Closest atoms and distances in Å follow each position.
Element x y z (fractional)
Fe 0.0000 0.0000 0.5000  2 Ag 2.22
Ag 0.0000 0.0000 0.0000  6 Fe 2.22
Fe 0.5000 0.0000 0.0000  2 Ag 2.22
Re 0.5000 0.5000 0.5000  12 Fe 3.14
Fe 0.0000 0.5000 0.0000  2 Ag 2.22

Results
V: 87.2 Å³ per cell
uncorrected energy: -6.377 eV per atom
D(E_F): 6.590 states/eV per cell

=====

Computed, not measured: a relaxed KSi4Pt4 crystal at the GGA-PBEsol level of DFT.

Lattice parameters (Å, degrees): 4.5969 6.3481 6.3481 82.47 68.77 68.77
Closest atoms and distances in Å follow each position.
Element x y z (fractional)
Pt 0.6697 0.1499 0.5000  5 Si 2.41-2.50
K 0.7431 0.0000 0.0000  8 Pt 3.29-3.30, 8 Si 3.56
Si 0.3808 0.5001 0.7276  5 Pt 2.41-2.50, 1 Si 2.69
Pt 0.3195 0.8501 0.5000  5 Si 2.41-2.50
Si 0.1084 0.2724 0.5001  5 Pt 2.41-2.50, 1 Si 2.69
Si 0.8809 0.7276 0.4999  5 Pt 2.41-2.50, 1 Si 2.69
Si 0.6084 0.4999 0.2724  5 Pt 2.41-2.50, 1 Si 2.69
Pt 0.8196 0.5000 0.8501  5 Si 2.41-2.50
Pt 0.1697 0.5000 0.1499  5 Si 2.41-2.50

Results
V: 161.0 Å³ per cell
D(E_F): 1.119 states/eV per cell
E_form (uncorrected): -6.6 eV per formula unit